<1>
Density functional theory data (PBE) for a relaxed structure of SrHf3Cd.

Properties
The calculation puts the magnetic moment at 0.000 μB/f.u.

Lattice parameters (Å, degrees): 5.1620 5.1620 5.1620 90.00 90.00 90.00
Fractional coordinates of all 5 atoms:
Sr (0.0000, 0.0000, 0.0000)
Hf (0.0000, 0.0000, 0.5000)
Hf (0.0000, 0.5000, 0.0000)
Hf (0.5000, 0.0000, 0.0000)
Cd (0.5000, 0.5000, 0.5000)


<2>
Density functional theory data (PBE) for a relaxed structure of SrHf3Cd.

Properties
The calculation puts the magnetic moment at 1.926 μB/f.u.

Lattice parameters (Å, degrees): 5.3606 5.3606 5.3606 90.00 90.00 90.00
Fractional coordinates of all 5 atoms:
Sr (0.0000, 0.0000, 0.0000)
Hf (0.0000, 0.5000, 0.5000)
Hf (0.5000, 0.0000, 0.5000)
Hf (0.5000, 0.5000, 0.0000)
Cd (0.5000, 0.5000, 0.5000)


Short version: <1> is the least stable of them.


<1>
Density functional theory data (PBE) for a relaxed structure of HfTa3Cd.

Properties
The calculation puts the magnetic moment at 0.116 μB/f.u.

Lattice parameters (Å, degrees): 4.9536 4.9536 4.9536 90.00 90.00 90.00
Fractional coordinates of all 5 atoms:
Hf (0.0000, 0.0000, 0.0000)
Ta (0.0000, 0.5000, 0.5000)
Ta (0.5000, 0.0000, 0.5000)
Ta (0.5000, 0.5000, 0.0000)
Cd (0.5000, 0.5000, 0.5000)


<2>
Density functional theory data (PBE) for a relaxed structure of HfTa3Cd.

Properties
The calculation puts the magnetic moment at 0.000 μB/f.u.

Lattice parameters (Å, degrees): 4.9364 4.9364 4.9364 90.00 90.00 90.00
Fractional coordinates of all 5 atoms:
Hf (0.0000, 0.0000, 0.0000)
Ta (0.0000, 0.0000, 0.5000)
Ta (0.0000, 0.5000, 0.0000)
Ta (0.5000, 0.0000, 0.0000)
Cd (0.5000, 0.5000, 0.5000)


Short version: <1> is the least stable of them.


<1>
Density functional theory data (PBE) for a relaxed structure of TbHfCd2.

Properties
The calculation puts the magnetic moment at 0.822 μB/f.u.

Lattice parameters (Å, degrees): 5.1203 5.1203 5.1203 60.00 60.00 60.00
Fractional coordinates of all 4 atoms:
Tb (0.0000, 0.0000, 0.0000)
Hf (0.5000, 0.5000, 0.5000)
Cd (0.2500, 0.2500, 0.2500)
Cd (0.7500, 0.7500, 0.7500)


<2>
Density functional theory data (PBE) for a relaxed structure of TbHfCd2.

Properties
The calculation puts the magnetic moment at 0.104 μB/f.u.

Lattice parameters (Å, degrees): 3.5958 3.5958 7.3280 90.00 90.00 90.00
Fractional coordinates of all 4 atoms:
Tb (0.0000, 0.0000, 0.0000)
Hf (0.0000, 0.0000, 0.5000)
Cd (0.5000, 0.5000, 0.2730)
Cd (0.5000, 0.5000, 0.7270)


Short version: <1> is the least stable of them.


<1>
Density functional theory data (PBE) for a relaxed structure of Tb2HfCd.

Properties
The calculation puts the magnetic moment at 0.001 μB/f.u.

Lattice parameters (Å, degrees): 5.5208 5.5208 3.4456 90.00 90.00 90.00
Fractional coordinates of all 4 atoms:
Tb (0.0000, 0.5000, 0.0000)
Tb (0.5000, 0.0000, 0.0000)
Hf (0.0000, 0.0000, 0.5000)
Cd (0.5000, 0.5000, 0.5000)


<2>
Density functional theory data (PBE) for a relaxed structure of Tb2HfCd.

Properties
The calculation puts the magnetic moment at 0.001 μB/f.u.

Lattice parameters (Å, degrees): 12.0199 12.0199 12.0199 15.48 15.48 15.48
Fractional coordinates of all 4 atoms:
Tb (0.0895, 0.0895, 0.0895)
Tb (0.9105, 0.9105, 0.9105)
Hf (0.0000, 0.0000, 0.0000)
Cd (0.5000, 0.5000, 0.5000)


<3>
Density functional theory data (PBE) for a relaxed structure of Tb2HfCd.

Properties
The calculation puts the magnetic moment at 0.000 μB/f.u.

Lattice parameters (Å, degrees): 3.4108 3.4108 9.1022 90.00 90.00 90.00
Fractional coordinates of all 4 atoms:
Tb (0.0000, 0.0000, 0.2488)
Tb (0.0000, 0.0000, 0.7512)
Hf (0.5000, 0.5000, 0.5000)
Cd (0.5000, 0.5000, 0.0000)


Short version: <2> is the least stable of them.


<1>
Density functional theory data (PBE) for a relaxed structure of HfCd2Tc.

Properties
The calculation puts the magnetic moment at 0.000 μB/f.u.

Lattice parameters (Å, degrees): 4.7394 4.7394 4.7394 60.00 60.00 60.00
Fractional coordinates of all 4 atoms:
Hf (0.0000, 0.0000, 0.0000)
Cd (0.2500, 0.2500, 0.2500)
Cd (0.7500, 0.7500, 0.7500)
Tc (0.5000, 0.5000, 0.5000)


<2>
Density functional theory data (PBE) for a relaxed structure of HfCd2Tc.

Properties
The calculation puts the magnetic moment at 0.000 μB/f.u.

Lattice parameters (Å, degrees): 11.0156 11.0156 11.0156 159.52 159.52 29.12
Fractional coordinates of all 8 atoms:
Hf (0.0000, 0.0000, 0.0000)
Hf (0.7500, 0.2500, 0.5000)
Cd (0.1360, 0.6250, 0.0110)
Cd (0.3750, 0.3860, 0.5110)
Cd (0.6140, 0.1250, 0.9890)
Cd (0.8750, 0.8640, 0.4890)
Tc (0.2500, 0.7500, 0.5000)
Tc (0.5000, 0.5000, 0.0000)


Short version: <2> is the least stable of them.


<1>
Density functional theory data (PBE) for a relaxed structure of HfCdTc3.

Properties
The calculation puts the magnetic moment at 3.086 μB/f.u.

Lattice parameters (Å, degrees): 4.7883 4.7883 4.7883 90.00 90.00 90.00
Fractional coordinates of all 5 atoms:
Hf (0.0000, 0.0000, 0.0000)
Cd (0.5000, 0.5000, 0.5000)
Tc (0.0000, 0.0000, 0.5000)
Tc (0.0000, 0.5000, 0.0000)
Tc (0.5000, 0.0000, 0.0000)


<2>
Density functional theory data (PBE) for a relaxed structure of HfCdTc3.

Properties
The calculation puts the magnetic moment at 2.438 μB/f.u.

Lattice parameters (Å, degrees): 4.7762 4.7762 4.7762 90.00 90.00 90.00
Fractional coordinates of all 5 atoms:
Hf (0.0000, 0.0000, 0.0000)
Cd (0.5000, 0.5000, 0.5000)
Tc (0.0000, 0.5000, 0.5000)
Tc (0.5000, 0.0000, 0.5000)
Tc (0.5000, 0.5000, 0.0000)


Short version: <2> is the least stable of them.